# 1
SrNiO: relaxed, PBE+U.

SG: Cm, No. 8
Calculated total energy: -4.219 eV/atom

abc: 5.9172 3.4791 6.0676
angles: 90.00 74.95 72.89
Last column: nearest neighbours and their distance in Å.
Atoms (fractional coordinates):
1 Sr 0.5860 0.5182 0.3526  4 O 2.49
2 Sr 0.8955 0.3634 0.7601  4 O 2.47-2.49
3 O 0.8199 0.9013 0.4985  1 Ni 2.05
4 O 0.7149 0.9537 0.0507  2 Ni 2.07-2.19
5 Ni 0.3634 0.1288 0.0112  1 O 2.07
6 Ni 0.0458 0.7876 0.1719  2 O 2.05-2.19

---

# 2
NpFePdO6: relaxed, PBE+U.

SG: P-31c, No. 163
Calculated total energy: -7.576 eV/atom

abc: 5.2251 5.2251 9.2050
angles: 90.00 90.00 120.00
Last column: nearest neighbours and their distance in Å.
Atoms (fractional coordinates):
1 Np 0.6667 0.3333 0.2500  6 O 2.08
2 Np 0.3333 0.6667 0.7500  6 O 2.08
3 Fe 0.0000 0.0000 0.0000  6 O 2.06
4 Fe 0.0000 0.0000 0.5000  6 O 2.06
5 Pd 0.3333 0.6667 0.2500  6 O 2.12
6 Pd 0.6667 0.3333 0.7500  6 O 2.12
7 O 0.6764 0.6707 0.1255  1 Fe 2.06, 1 Np 2.08, 1 Pd 2.12
8 O 0.9943 0.3236 0.1255  1 Fe 2.06, 1 Np 2.08, 1 Pd 2.12
9 O 0.3236 0.9943 0.6255  1 Fe 2.06, 1 Np 2.08, 1 Pd 2.12
10 O 0.0057 0.6764 0.8745  1 Fe 2.06, 1 Np 2.08, 1 Pd 2.12
11 O 0.3293 0.3236 0.3745  1 Fe 2.06, 1 Np 2.08, 1 Pd 2.12
12 O 0.9943 0.6707 0.3745  1 Fe 2.06, 1 Np 2.08, 1 Pd 2.12
13 O 0.6707 0.9943 0.8745  1 Fe 2.06, 1 Np 2.08, 1 Pd 2.12
14 O 0.6764 0.0057 0.3745  1 Fe 2.06, 1 Np 2.08, 1 Pd 2.12
15 O 0.0057 0.3293 0.6255  1 Fe 2.06, 1 Np 2.08, 1 Pd 2.12
16 O 0.3293 0.0057 0.1255  1 Fe 2.06, 1 Np 2.08, 1 Pd 2.12
17 O 0.6707 0.6764 0.6255  1 Fe 2.06, 1 Np 2.08, 1 Pd 2.12
18 O 0.3236 0.3293 0.8745  1 Fe 2.06, 1 Np 2.08, 1 Pd 2.12

---

# 3
Pm3CoO6: relaxed, PBE+U.

SG: P2_1/c, No. 14
Polymorph energy (0 for the lowest one): 130.0 meV per atom

abc: 5.5679 5.7189 8.9951
angles: 90.00 95.64 90.00
Last column: nearest neighbours and their distance in Å.
Atoms (fractional coordinates):
1 Pm 0.5337 0.9473 0.7412  6 O 2.29-2.51
2 Pm 0.5000 0.5000 0.0000  6 O 2.32-2.35
3 Pm 0.4663 0.0527 0.2588  6 O 2.29-2.51
4 Pm 0.0337 0.5527 0.2412  6 O 2.29-2.51
5 Pm 0.0000 0.0000 0.5000  6 O 2.32-2.35
6 Pm 0.9663 0.4473 0.7588  6 O 2.29-2.51
7 Co 0.5000 0.5000 0.5000  4 O 1.91-1.92
8 Co 0.0000 0.0000 0.0000  4 O 1.91-1.92
9 O 0.7404 0.1968 0.9192  1 Co 1.92
10 O 0.6840 0.2326 0.5707  1 Co 1.91
11 O 0.6448 0.4257 0.2463  3 Pm 2.29-2.36, 1 Co 2.53
12 O 0.3552 0.5743 0.7537  3 Pm 2.29-2.36, 1 Co 2.53
13 O 0.3160 0.7674 0.4293  1 Co 1.91
14 O 0.2596 0.8032 0.0808  1 Co 1.92
15 O 0.2404 0.3032 0.4192  1 Co 1.92
16 O 0.1840 0.2674 0.0707  1 Co 1.91
17 O 0.1448 0.0743 0.7463  3 Pm 2.29-2.36, 1 Co 2.53
18 O 0.8552 0.9257 0.2537  3 Pm 2.29-2.36, 1 Co 2.53
19 O 0.8160 0.7326 0.9293  1 Co 1.91
20 O 0.7596 0.6968 0.5808  1 Co 1.92

---

Record order is preserved below.
Calculated volume: 115; 218; 285 Å³ per cell
Record order is preserved below.
Total magnetization: 0.99; 4.82; 2.03 μB per formula unit